# PBE with a Hubbard U MnNbTeO6, optimized geometry
data_MnNbTeO6
_cell_length_a 5.3711
_cell_length_b 5.3711
_cell_length_c 9.3244
_cell_angle_alpha 90.00
_cell_angle_beta 90.00
_cell_angle_gamma 120.00
_symmetry_space_group_name_H-M 'P -3 1 c'
_symmetry_Int_Tables_number 163
_symmetry_space_group_name_Hall '-P 3 2c'
loop_
_atom_site_label
_atom_site_fract_x
_atom_site_fract_y
_atom_site_fract_z
Mn1 0.0000 0.0000 0.0000
Nb1 0.3333 0.6667 0.2500
Te1 0.3333 0.6667 0.7500
O1 0.0028 0.3556 0.1340
# final energy	-7.258	eV per atom
# density	5.30	g/cm3